# 1
A plane-wave DFT calculation with PBE-GGA was carried out for a relaxed CsLa2CuTe3Se crystal.

* energy relative to the lowest polymorph listed for this composition: 0.000 eV per atom
* magnetic moment: 0.00 μB/atom

a = 8.2992 Å, b = 8.2992 Å, c = 15.5212 Å
α = 90.00°, β = 90.00°, γ = 148.33°
Closest atoms and distances in Å follow each position.
Atoms (fractional coordinates):
Cu 0.8382 0.1618 0.2500  2 Se 2.59, 2 Te 2.66
La 0.6351 0.3649 0.5684  1 Se 2.94, 3 Te 3.17-3.27
Te 0.7343 0.2657 0.1163  1 Cu 2.66
Cs 0.9070 0.0930 0.7500  2 Se 3.60, 4 Te 3.81
Cu 0.1618 0.8382 0.7500  2 Se 2.59, 2 Te 2.66
La 0.6351 0.3649 0.9316  1 Se 2.94, 3 Te 3.17-3.27
Te 0.0000 0.0000 0.5000  4 La 3.30
Se 0.5826 0.4174 0.7500  2 Cu 2.59
Se 0.4174 0.5826 0.2500  2 Cu 2.59
Te 0.0000 0.0000 0.0000  4 La 3.30
Te 0.2657 0.7343 0.8837  1 Cu 2.66
La 0.3649 0.6351 0.0684  1 Se 2.94, 3 Te 3.17-3.27
Te 0.2657 0.7343 0.6163  1 Cu 2.66
Te 0.7343 0.2657 0.3837  1 Cu 2.66
Cs 0.0930 0.9070 0.2500  2 Se 3.60, 4 Te 3.81
La 0.3649 0.6351 0.4316  1 Se 2.94, 3 Te 3.17-3.27



# 2
A plane-wave DFT calculation with PBE-GGA was carried out for a relaxed CsLa2Cu3Te4Se crystal.

* total DFT energy (no corrections): -4.409 eV/atom
* magnetic moment: 0.01 μB/atom

a = 8.1537 Å, b = 8.1537 Å, c = 18.7805 Å
α = 90.00°, β = 90.00°, γ = 148.45°
Closest atoms and distances in Å follow each position.
Atoms (fractional coordinates):
La 0.8045 0.1955 0.5967  1 Se 2.94, 5 Te 3.17-3.25
Cu 0.4167 0.5833 0.0200  4 Te 2.65-2.83, 1 Cu 2.72
Cu 0.6632 0.3368 0.2500  2 Se 2.48
Te 0.4471 0.5529 0.8811  2 Cu 2.65-2.83
Cu 0.5833 0.4167 0.5200  4 Te 2.65-2.83, 1 Cu 2.72
Se 0.2336 0.7664 0.2500  2 Cu 2.48
La 0.1955 0.8045 0.0967  1 Se 2.94, 5 Te 3.17-3.25
Cs 0.0684 0.9316 0.7500  6 Te 3.67-3.82, 2 Se 3.82
Te 0.5529 0.4471 0.3811  2 Cu 2.65-2.83
Cu 0.3368 0.6632 0.7500  2 Se 2.48
Te 0.4471 0.5529 0.6189  2 Cu 2.65-2.83
Te 0.5529 0.4471 0.1189  2 Cu 2.65-2.83
Te 0.8434 0.1566 0.0688  2 Cu 2.66
Se 0.7664 0.2336 0.7500  2 Cu 2.48
Te 0.1566 0.8434 0.9312  2 Cu 2.66
Cu 0.4167 0.5833 0.4800  4 Te 2.65-2.83, 1 Cu 2.72
La 0.1955 0.8045 0.4033  1 Se 2.94, 5 Te 3.17-3.25
Te 0.8434 0.1566 0.4312  2 Cu 2.66
Te 0.1566 0.8434 0.5688  2 Cu 2.66
Cu 0.5833 0.4167 0.9800  4 Te 2.65-2.83, 1 Cu 2.72
La 0.8045 0.1955 0.9033  1 Se 2.94, 5 Te 3.17-3.25
Cs 0.9316 0.0684 0.2500  6 Te 3.67-3.82, 2 Se 3.82



# 3
A plane-wave DFT calculation with PBE-GGA was carried out for a relaxed CsLa2Cu3Te5 crystal.

* total DFT energy (no corrections): -4.324 eV/atom
* magnetic moment: 0.00 μB/atom

a = 8.1783 Å, b = 8.1783 Å, c = 19.2332 Å
α = 90.00°, β = 90.00°, γ = 148.01°
Closest atoms and distances in Å follow each position.
Atoms (fractional coordinates):
Te 0.0540 0.9460 0.3856  2 Cu 2.67-2.79
Te 0.9460 0.0540 0.8856  2 Cu 2.67-2.79
Cu 0.0833 0.9167 0.9775  4 Te 2.67-2.79, 1 Cu 2.76
Te 0.2585 0.7415 0.7500  2 Cu 2.57
Te 0.3436 0.6564 0.0708  2 Cu 2.70
Te 0.0540 0.9460 0.1144  2 Cu 2.67-2.79
Cs 0.4430 0.5570 0.2500  8 Te 3.78-3.89, 2 Cu 4.12
Te 0.3436 0.6564 0.4292  2 Cu 2.70
Cu 0.9167 0.0833 0.0225  4 Te 2.67-2.79, 1 Cu 2.76
Cu 0.9167 0.0833 0.4775  4 Te 2.67-2.79, 1 Cu 2.76
Cu 0.8376 0.1624 0.7500  2 Te 2.57
Te 0.7415 0.2585 0.2500  2 Cu 2.57
Cs 0.5570 0.4430 0.7500  8 Te 3.78-3.89, 2 Cu 4.12
Cu 0.1624 0.8376 0.2500  2 Te 2.57
La 0.6942 0.3058 0.0904  6 Te 3.16-3.28
La 0.3058 0.6942 0.5904  6 Te 3.16-3.28
La 0.3058 0.6942 0.9096  6 Te 3.16-3.28
Te 0.6564 0.3436 0.9292  2 Cu 2.70
La 0.6942 0.3058 0.4096  6 Te 3.16-3.28
Cu 0.0833 0.9167 0.5225  4 Te 2.67-2.79, 1 Cu 2.76
Te 0.6564 0.3436 0.5708  2 Cu 2.70
Te 0.9460 0.0540 0.6144  2 Cu 2.67-2.79



# 4
A plane-wave DFT calculation with PBE-GGA was carried out for a relaxed CsLa2CuTe4 crystal.

* total DFT energy (no corrections): -4.644 eV/atom
* magnetic moment: 0.00 μB/atom

a = 8.3925 Å, b = 8.3925 Å, c = 15.8774 Å
α = 90.00°, β = 90.00°, γ = 148.22°
Closest atoms and distances in Å follow each position.
Atoms (fractional coordinates):
Cs 0.8936 0.1064 0.7500  6 Te 3.73-3.80
Te 0.7386 0.2614 0.3856  1 Cu 2.68
La 0.3651 0.6349 0.0610  6 Te 3.15-3.31
Te 0.5755 0.4245 0.7500  2 Cu 2.69
Cs 0.1064 0.8936 0.2500  6 Te 3.73-3.80
Te 0.4245 0.5755 0.2500  2 Cu 2.69
Cu 0.8378 0.1622 0.2500  4 Te 2.68-2.69
Cu 0.1622 0.8378 0.7500  4 Te 2.68-2.69
Te 0.2614 0.7386 0.8856  1 Cu 2.68
Te 0.7386 0.2614 0.1144  1 Cu 2.68
La 0.3651 0.6349 0.4390  6 Te 3.15-3.31
La 0.6349 0.3651 0.9390  6 Te 3.15-3.31
Te 0.2614 0.7386 0.6144  1 Cu 2.68
Te 0.0000 0.0000 0.0000  4 La 3.31
La 0.6349 0.3651 0.5610  6 Te 3.15-3.31
Te 0.0000 0.0000 0.5000  4 La 3.31



# 5
A plane-wave DFT calculation with PBE-GGA was carried out for a relaxed CsLuCu crystal.

* total DFT energy (no corrections): -1.958 eV/atom
* magnetic moment: 0.10 μB/atom

a = 5.3645 Å, b = 5.3645 Å, c = 5.3645 Å
α = 60.00°, β = 60.00°, γ = 60.00°
Closest atoms and distances in Å follow each position.
Atoms (fractional coordinates):
Cs 0.2500 0.2500 0.2500  4 Lu 3.29
Lu 0.0000 0.0000 0.0000  4 Cu 3.29, 4 Cs 3.29
Cu 0.7500 0.7500 0.7500  4 Lu 3.29



# 6
A plane-wave DFT calculation with PBE-GGA was carried out for a relaxed CsLuCu crystal.

* total DFT energy (no corrections): -1.644 eV/atom
* magnetic moment: 0.00 μB/atom

a = 5.5831 Å, b = 5.5831 Å, c = 5.5831 Å
α = 60.00°, β = 60.00°, γ = 60.00°
Closest atoms and distances in Å follow each position.
Atoms (fractional coordinates):
Cu 0.2500 0.2500 0.2500  4 Cs 3.42
Cs 0.0000 0.0000 0.0000  4 Lu 3.42, 4 Cu 3.42
Lu 0.7500 0.7500 0.7500  4 Cs 3.42



# 7
A plane-wave DFT calculation with PBE-GGA was carried out for a relaxed CsLuCuS3 crystal.

* energy relative to the lowest polymorph listed for this composition: 0.000 eV per atom
* magnetic moment: 0.07 μB/atom

a = 7.9482 Å, b = 7.9482 Å, c = 10.3382 Å
α = 90.00°, β = 90.00°, γ = 151.63°
Closest atoms and distances in Å follow each position.
Atoms (fractional coordinates):
S 0.9516 0.0484 0.7500  2 Cu 2.34
Cu 0.5352 0.4648 0.7500  4 S 2.30-2.34
S 0.6122 0.3878 0.9409  1 Cu 2.30
S 0.3878 0.6122 0.4409  1 Cu 2.30
Cs 0.2574 0.7426 0.7500  8 S 3.56-3.77, 2 Cs 3.90, 2 Cu 3.94
S 0.6122 0.3878 0.5591  1 Cu 2.30
Cs 0.7426 0.2574 0.2500  8 S 3.56-3.77, 2 Cs 3.90, 2 Cu 3.94
S 0.3878 0.6122 0.0591  1 Cu 2.30
Lu 0.0000 0.0000 0.5000  6 S 2.68-2.69
Lu 0.0000 0.0000 0.0000  6 S 2.68-2.69
S 0.0484 0.9516 0.2500  2 Cu 2.34
Cu 0.4648 0.5352 0.2500  4 S 2.30-2.34



# 8
A plane-wave DFT calculation with PBE-GGA was carried out for a relaxed CsLu2Cu3S5 crystal.

* total DFT energy (no corrections): -5.018 eV/atom
* magnetic moment: 0.00 μB/atom

a = 7.1895 Å, b = 7.1895 Å, c = 16.3378 Å
α = 90.00°, β = 90.00°, γ = 148.50°
Closest atoms and distances in Å follow each position.
Atoms (fractional coordinates):
Cu 0.4176 0.5824 0.4603  4 S 2.34-2.53
Cu 0.6534 0.3466 0.2500  2 S 2.27
Lu 0.1914 0.8086 0.0933  6 S 2.64-2.77
Lu 0.1914 0.8086 0.4067  6 S 2.64-2.77
S 0.1697 0.8303 0.5681  2 Cu 2.34
Cs 0.9340 0.0660 0.2500  8 S 3.30-3.45, 2 Cu 3.61
Cu 0.3466 0.6534 0.7500  2 S 2.27
Cu 0.5824 0.4176 0.9603  4 S 2.34-2.53
Lu 0.8086 0.1914 0.9067  6 S 2.64-2.77
S 0.7625 0.2375 0.7500  2 Cu 2.27
S 0.4369 0.5631 0.8857  3 Cu 2.35-2.55
Lu 0.8086 0.1914 0.5933  6 S 2.64-2.77
S 0.8303 0.1697 0.0681  2 Cu 2.34
S 0.1697 0.8303 0.9319  2 Cu 2.34
Cu 0.5824 0.4176 0.5397  4 S 2.34-2.53
S 0.8303 0.1697 0.4319  2 Cu 2.34
S 0.2375 0.7625 0.2500  2 Cu 2.27
S 0.5631 0.4369 0.1143  3 Cu 2.35-2.55
S 0.5631 0.4369 0.3857  3 Cu 2.35-2.55
Cu 0.4176 0.5824 0.0397  4 S 2.34-2.53
Cs 0.0660 0.9340 0.7500  8 S 3.30-3.45, 2 Cu 3.61
S 0.4369 0.5631 0.6143  3 Cu 2.35-2.55